No. 1
{
  "formula": "CeNd2ThS4",
  "functional": "PBE",
  "state": "relaxed",
  "raw_formation_energy_ev_per_atom": -1.982,
  "cell": [[4.047, 0.000, 0.000], [0.000, 7.033, -0.153], [0.000, 2.462, 6.550]],
  "species": ["Ce", "Nd", "Nd", "Th", "S", "S", "S", "S"],
  "fractional_positions": [[0.500, 0.500, 0.000], [0.000, 0.000, 0.000], [0.500, 0.000, 0.500], [0.000, 0.500, 0.500], [0.000, 0.748, 0.752], [0.000, 0.252, 0.248], [0.500, 0.748, 0.250], [0.500, 0.252, 0.750]]
}

No. 2
{
  "formula": "CeNdTh2S4",
  "functional": "PBE",
  "state": "relaxed",
  "raw_formation_energy_ev_per_atom": -1.941,
  "cell": [[-3.080, -1.015, 2.431], [-1.882, -4.991, -4.470], [4.543, -2.625, 4.661]],
  "species": ["Ce", "Nd", "Th", "Th", "S", "S", "S", "S"],
  "fractional_positions": [[0.000, 0.000, 0.000], [0.500, 0.500, 0.000], [0.500, 0.000, 0.500], [0.000, 0.500, 0.500], [0.500, 0.248, 0.248], [0.500, 0.752, 0.752], [0.000, 0.249, 0.751], [0.000, 0.751, 0.249]]
}

No. 3
{
  "formula": "CeNd4Th3S8",
  "functional": "PBE",
  "state": "relaxed",
  "raw_formation_energy_ev_per_atom": -1.956,
  "cell": [[8.058, 0.000, 0.000], [0.000, 8.145, 0.056], [-4.029, -4.025, 5.701]],
  "species": ["Ce", "Nd", "Nd", "Nd", "Nd", "Th", "Th", "Th", "S", "S", "S", "S", "S", "S", "S", "S"],
  "fractional_positions": [[0.000, 0.500, 0.000], [0.500, 0.000, 0.000], [0.500, 0.000, 0.500], [0.000, 0.000, 0.000], [0.000, 0.000, 0.500], [0.500, 0.500, 0.000], [0.500, 0.500, 0.500], [0.000, 0.500, 0.500], [0.249, 0.749, 0.000], [0.249, 0.749, 0.498], [0.250, 0.250, 0.500], [0.750, 0.749, 0.000], [0.250, 0.251, 0.000], [0.750, 0.750, 0.500], [0.751, 0.251, 0.502], [0.751, 0.251, 0.000]]
}

No. 4
{
  "formula": "Ce4Nd3ThS8",
  "functional": "PBE",
  "state": "relaxed",
  "raw_formation_energy_ev_per_atom": -2.016,
  "cell": [[-5.951, -0.257, -5.471], [5.236, -2.618, -5.572], [-0.773, -3.967, 7.006]],
  "species": ["Ce", "Ce", "Ce", "Ce", "Nd", "Nd", "Nd", "Th", "S", "S", "S", "S", "S", "S", "S", "S"],
  "fractional_positions": [[0.500, 0.000, 0.000], [0.500, 0.000, 0.500], [0.000, 0.000, 0.000], [0.000, 0.000, 0.500], [0.500, 0.500, 0.000], [0.500, 0.500, 0.500], [0.000, 0.500, 0.500], [0.000, 0.500, 0.000], [0.250, 0.752, 0.002], [0.250, 0.752, 0.501], [0.249, 0.247, 0.498], [0.751, 0.752, 0.002], [0.249, 0.248, 0.998], [0.751, 0.753, 0.502], [0.750, 0.248, 0.499], [0.750, 0.248, 0.998]]
}

No. 5
{
  "formula": "Ce3NdTh4S8",
  "functional": "PBE",
  "state": "relaxed",
  "raw_formation_energy_ev_per_atom": -1.945,
  "cell": [[8.045, 0.000, 0.000], [0.000, 8.106, 0.035], [-4.023, -4.020, 5.693]],
  "species": ["Ce", "Ce", "Ce", "Nd", "Th", "Th", "Th", "Th", "S", "S", "S", "S", "S", "S", "S", "S"],
  "fractional_positions": [[0.500, 0.500, 0.000], [0.500, 0.500, 0.500], [0.000, 0.500, 0.500], [0.000, 0.500, 0.000], [0.500, 0.000, 0.000], [0.500, 0.000, 0.500], [0.000, 0.000, 0.000], [0.000, 0.000, 0.500], [0.250, 0.748, 0.998], [0.250, 0.748, 0.499], [0.251, 0.253, 0.502], [0.748, 0.748, 0.998], [0.252, 0.252, 0.002], [0.749, 0.747, 0.498], [0.750, 0.252, 0.501], [0.750, 0.252, 0.002]]
}

No. 6
{
  "formula": "Ce3NdTh2S6",
  "functional": "PBE",
  "state": "relaxed",
  "raw_formation_energy_ev_per_atom": -1.978,
  "cell": [[6.995, 0.003, 0.003], [-3.493, 6.060, 0.003], [-1.166, -2.018, 6.570]],
  "species": ["Ce", "Ce", "Ce", "Nd", "Th", "Th", "S", "S", "S", "S", "S", "S"],
  "fractional_positions": [[0.166, 0.834, 0.500], [0.834, 0.166, 0.500], [0.500, 0.500, 0.500], [0.000, 0.000, 0.000], [0.333, 0.667, 0.000], [0.667, 0.333, 0.000], [0.916, 0.582, 0.747], [0.750, 0.750, 0.252], [0.084, 0.418, 0.253], [0.582, 0.916, 0.747], [0.250, 0.250, 0.748], [0.418, 0.084, 0.253]]
}

No. 7
{
  "formula": "Ce3NdTm2S6",
  "functional": "PBE",
  "state": "relaxed",
  "raw_formation_energy_ev_per_atom": -2.009,
  "cell": [[6.861, -0.003, -0.001], [-3.431, 5.941, -0.001], [-1.145, -1.983, 6.540]],
  "species": ["Ce", "Ce", "Ce", "Nd", "Tm", "Tm", "S", "S", "S", "S", "S", "S"],
  "fractional_positions": [[0.162, 0.838, 0.500], [0.838, 0.162, 0.500], [0.500, 0.500, 0.500], [0.000, 0.000, 0.000], [0.333, 0.667, 0.000], [0.667, 0.333, 0.000], [0.920, 0.575, 0.760], [0.733, 0.733, 0.235], [0.080, 0.425, 0.240], [0.575, 0.920, 0.760], [0.267, 0.267, 0.765], [0.425, 0.080, 0.240]]
}

No. 8
{
  "formula": "Ce2NdTmS4",
  "functional": "PBE",
  "state": "relaxed",
  "raw_formation_energy_ev_per_atom": -2.011,
  "cell": [[3.974, 0.000, 0.000], [0.000, 6.920, 0.130], [0.000, -2.407, 6.510]],
  "species": ["Ce", "Ce", "Nd", "Tm", "S", "S", "S", "S"],
  "fractional_positions": [[0.500, 0.000, 0.500], [0.000, 0.500, 0.500], [0.500, 0.500, 0.000], [0.000, 0.000, 0.000], [0.500, 0.236, 0.238], [0.500, 0.764, 0.762], [0.000, 0.241, 0.754], [0.000, 0.759, 0.246]]
}

No. 9
{
  "formula": "Ce3Nd4TmS8",
  "functional": "PBE",
  "state": "relaxed",
  "raw_formation_energy_ev_per_atom": -2.023,
  "cell": [[8.056, 0.000, 0.000], [0.000, 8.044, -0.014], [-4.028, -4.024, 5.699]],
  "species": ["Ce", "Ce", "Ce", "Nd", "Nd", "Nd", "Nd", "Tm", "S", "S", "S", "S", "S", "S", "S", "S"],
  "fractional_positions": [[0.500, 0.500, 0.000], [0.500, 0.500, 0.500], [0.000, 0.500, 0.500], [0.500, 0.000, 0.000], [0.500, 0.000, 0.500], [0.000, 0.000, 0.000], [0.000, 0.000, 0.500], [0.000, 0.500, 0.000], [0.243, 0.740, 0.997], [0.243, 0.740, 0.485], [0.251, 0.253, 0.502], [0.755, 0.740, 0.997], [0.245, 0.260, 0.003], [0.749, 0.747, 0.498], [0.757, 0.260, 0.515], [0.757, 0.260, 0.003]]
}

No. 10
{
  "formula": "CeNdTm2S4",
  "functional": "PBE",
  "state": "relaxed",
  "raw_formation_energy_ev_per_atom": -1.997,
  "cell": [[-1.796, 0.092, -3.456], [-4.434, -4.625, 2.181], [-2.474, 6.344, 1.454]],
  "species": ["Ce", "Nd", "Tm", "Tm", "S", "S", "S", "S"],
  "fractional_positions": [[0.500, 0.500, 0.000], [0.000, 0.000, 0.000], [0.500, 0.000, 0.500], [0.000, 0.500, 0.500], [0.500, 0.258, 0.270], [0.500, 0.742, 0.730], [0.000, 0.245, 0.731], [0.000, 0.755, 0.269]]
}

No. 11
{
  "formula": "Ce4NdTm3S8",
  "functional": "PBE",
  "state": "relaxed",
  "raw_formation_energy_ev_per_atom": -2.005,
  "cell": [[-3.832, 2.536, 6.418], [-6.435, -4.142, -2.205], [6.948, -3.670, 0.745]],
  "species": ["Ce", "Ce", "Ce", "Ce", "Nd", "Tm", "Tm", "Tm", "S", "S", "S", "S", "S", "S", "S", "S"],
  "fractional_positions": [[0.500, 0.000, 0.000], [0.500, 0.000, 0.500], [0.000, 0.000, 0.000], [0.000, 0.000, 0.500], [0.000, 0.500, 0.000], [0.500, 0.500, 0.000], [0.500, 0.500, 0.500], [0.000, 0.500, 0.500], [0.251, 0.739, 0.988], [0.251, 0.739, 0.502], [0.256, 0.268, 0.512], [0.737, 0.739, 0.988], [0.263, 0.261, 0.012], [0.744, 0.732, 0.488], [0.749, 0.261, 0.498], [0.749, 0.261, 0.012]]
}

No. 12
{
  "formula": "CeNd2Tm3S6",
  "functional": "PBE",
  "state": "relaxed",
  "raw_formation_energy_ev_per_atom": -1.993,
  "cell": [[-0.767, 3.819, 0.117], [-6.440, -1.152, -4.639], [-2.510, -2.740, 8.079]],
  "species": ["Ce", "Nd", "Nd", "Tm", "Tm", "Tm", "S", "S", "S", "S", "S", "S"],
  "fractional_positions": [[0.500, 0.000, 0.000], [0.834, 0.668, 0.668], [0.166, 0.332, 0.332], [0.500, 0.500, 0.000], [0.833, 0.165, 0.666], [0.167, 0.835, 0.334], [0.329, 0.929, 0.658], [0.662, 0.596, 0.325], [0.671, 0.071, 0.342], [0.995, 0.260, 0.990], [0.005, 0.740, 0.010], [0.338, 0.404, 0.675]]
}

No. 13
{
  "formula": "CeNd3Tm2S6",
  "functional": "PBE",
  "state": "relaxed",
  "raw_formation_energy_ev_per_atom": -2.003,
  "cell": [[6.883, -0.007, -0.005], [-3.447, 5.958, -0.005], [-1.151, -1.993, 6.561]],
  "species": ["Ce", "Nd", "Nd", "Nd", "Tm", "Tm", "S", "S", "S", "S", "S", "S"],
  "fractional_positions": [[0.000, 0.000, 0.000], [0.164, 0.836, 0.500], [0.836, 0.164, 0.500], [0.500, 0.500, 0.500], [0.333, 0.667, 0.000], [0.667, 0.333, 0.000], [0.922, 0.579, 0.765], [0.735, 0.735, 0.232], [0.078, 0.421, 0.235], [0.579, 0.922, 0.765], [0.265, 0.265, 0.768], [0.421, 0.078, 0.235]]
}

No. 14
{
  "formula": "Ce2Nd3TmS6",
  "functional": "PBE",
  "state": "relaxed",
  "raw_formation_energy_ev_per_atom": -2.019,
  "cell": [[-4.034, -4.029, -3.990], [3.796, -2.831, 5.099], [-4.907, 3.150, 3.812]],
  "species": ["Ce", "Ce", "Nd", "Nd", "Nd", "Tm", "S", "S", "S", "S", "S", "S"],
  "fractional_positions": [[0.334, 0.666, 0.000], [0.666, 0.334, 0.000], [0.169, 0.831, 0.500], [0.831, 0.169, 0.500], [0.500, 0.500, 0.500], [0.000, 0.000, 0.000], [0.921, 0.596, 0.760], [0.757, 0.757, 0.242], [0.079, 0.404, 0.240], [0.596, 0.921, 0.760], [0.243, 0.243, 0.758], [0.404, 0.079, 0.240]]
}

No. 15
{
  "formula": "CeNd3Tm3S8",
  "functional": "PBE",
  "state": "relaxed",
  "raw_formation_energy_ev_per_atom": -2.006,
  "cell": [[-4.998, 5.941, 1.409], [-0.230, -3.793, -6.914], [-2.496, -3.664, 6.594]],
  "species": ["Ce", "Nd", "Nd", "Nd", "Tm", "Tm", "Tm", "S", "S", "S", "S", "S", "S", "S", "S"],
  "fractional_positions": [[0.000, 0.000, 0.500], [0.000, 0.000, 0.000], [0.000, 0.500, 0.000], [0.500, 0.500, 0.000], [0.500, 0.000, 0.500], [0.500, 0.500, 0.500], [0.000, 0.500, 0.500], [0.257, 0.513, 0.270], [0.743, 0.487, 0.730], [0.746, 0.493, 0.260], [0.254, 0.507, 0.740], [0.746, 0.014, 0.260], [0.254, 0.986, 0.740], [0.268, 0.014, 0.260], [0.732, 0.986, 0.740]]
}

No. 16
{
  "formula": "CeNd2TmS4",
  "functional": "PBE",
  "state": "relaxed",
  "raw_formation_energy_ev_per_atom": -2.009,
  "cell": [[-1.018, -2.404, 2.999], [6.584, -2.201, 0.471], [-0.855, 5.512, 4.127]],
  "species": ["Ce", "Nd", "Nd", "Tm", "S", "S", "S", "S"],
  "fractional_positions": [[0.500, 0.500, 0.000], [0.500, 0.000, 0.500], [0.000, 0.500, 0.500], [0.000, 0.000, 0.000], [0.500, 0.237, 0.234], [0.500, 0.763, 0.766], [0.000, 0.245, 0.760], [0.000, 0.755, 0.240]]
}

No. 17
{
  "formula": "CeNd4Tm3S8",
  "functional": "PBE",
  "state": "relaxed",
  "raw_formation_energy_ev_per_atom": -1.997,
  "cell": [[-1.047, -3.020, -7.242], [-3.779, -6.298, 3.173], [-2.530, 7.319, 1.640]],
  "species": ["Ce", "Nd", "Nd", "Nd", "Nd", "Tm", "Tm", "Tm", "S", "S", "S", "S", "S", "S", "S", "S"],
  "fractional_positions": [[0.000, 0.500, 0.000], [0.500, 0.000, 0.000], [0.500, 0.000, 0.500], [0.000, 0.000, 0.000], [0.000, 0.000, 0.500], [0.500, 0.500, 0.000], [0.500, 0.500, 0.500], [0.000, 0.500, 0.500], [0.248, 0.733, 0.985], [0.248, 0.733, 0.496], [0.257, 0.272, 0.514], [0.737, 0.733, 0.985], [0.263, 0.267, 0.015], [0.743, 0.728, 0.486], [0.752, 0.267, 0.504], [0.752, 0.267, 0.015]]
}

No. 18
{
  "formula": "Ce2NdTmS5",
  "functional": "PBE",
  "state": "relaxed",
  "raw_formation_energy_ev_per_atom": -1.539,
  "cell": [[-4.245, -2.315, 0.251], [1.861, -3.060, 3.257], [-3.035, 6.404, 7.752]],
  "species": ["Ce", "Ce", "Nd", "Tm", "S", "S", "S", "S", "S"],
  "fractional_positions": [[0.500, 0.500, 0.305], [0.500, 0.500, 0.695], [0.000, 0.000, 0.000], [0.000, 0.000, 0.500], [0.000, 0.500, 0.500], [0.500, 0.000, 0.500], [0.000, 0.000, 0.749], [0.000, 0.000, 0.251], [0.500, 0.500, 0.000]]
}

No. 19
{
  "formula": "Ce3Nd2TmS6",
  "functional": "PBE",
  "state": "relaxed",
  "raw_formation_energy_ev_per_atom": -2.021,
  "cell": [[-3.376, -5.570, -2.417], [6.230, -0.737, 2.983], [-3.842, 1.323, 5.651]],
  "species": ["Ce", "Ce", "Ce", "Nd", "Nd", "Tm", "S", "S", "S", "S", "S", "S"],
  "fractional_positions": [[0.171, 0.829, 0.500], [0.829, 0.171, 0.500], [0.500, 0.500, 0.500], [0.334, 0.666, 0.000], [0.666, 0.334, 0.000], [0.000, 0.000, 0.000], [0.919, 0.597, 0.756], [0.762, 0.762, 0.249], [0.081, 0.403, 0.244], [0.597, 0.919, 0.756], [0.238, 0.238, 0.751], [0.403, 0.081, 0.244]]
}

No. 20
{
  "formula": "CeNd3Y3S8",
  "functional": "PBE",
  "state": "relaxed",
  "raw_formation_energy_ev_per_atom": -2.025,
  "cell": [[7.966, 0.000, 0.000], [-3.983, 6.899, -0.024], [0.000, -4.576, 6.563]],
  "species": ["Ce", "Nd", "Nd", "Nd", "Y", "Y", "Y", "S", "S", "S", "S", "S", "S", "S", "S"],
  "fractional_positions": [[0.000, 0.000, 0.500], [0.000, 0.000, 0.000], [0.000, 0.500, 0.000], [0.500, 0.500, 0.000], [0.500, 0.000, 0.500], [0.500, 0.500, 0.500], [0.000, 0.500, 0.500], [0.254, 0.509, 0.263], [0.746, 0.491, 0.737], [0.748, 0.496, 0.257], [0.252, 0.504, 0.743], [0.748, 0.009, 0.257], [0.252, 0.991, 0.743], [0.262, 0.009, 0.257], [0.738, 0.991, 0.743]]
}

| no. | theoretical density (Mg/m³) |
| --- | --- |
| 1 | 6.97 |
| 2 | 7.80 |
| 3 | 7.37 |
| 4 | 6.58 |
| 5 | 7.80 |
| 6 | 7.28 |
| 7 | 6.82 |
| 8 | 6.65 |
| 9 | 6.40 |
| 10 | 7.17 |
| 11 | 6.92 |
| 12 | 7.15 |
| 13 | 6.81 |
| 14 | 6.48 |
| 15 | 6.32 |
| 16 | 6.65 |
| 17 | 6.90 |
| 18 | 5.08 |
| 19 | 6.48 |
| 20 | 5.06 |